Density functional theory data (PBE-GGA) for a relaxed BRh2Au crystal.

Summary:
* V: 55.5 Å³/f.u.
* E_tot: -0.4514 Ry/atom

```
data_BRh2Au
_chemical_formula_sum 'B4 Rh8 Au4'
_cell_length_a 6.6151
_cell_length_b 6.6151
_cell_length_c 5.0771
_cell_angle_alpha 90.00
_cell_angle_beta 90.00
_cell_angle_gamma 90.00
_symmetry_space_group_name_H-M 'I -4 2 d'
_symmetry_Int_Tables_number 122
_symmetry_space_group_name_Hall 'I -4 2bw'
loop_
_atom_site_label
_atom_site_type_symbol
_atom_site_fract_x
_atom_site_fract_y
_atom_site_fract_z
_atom_site_occupancy
B1 B 0.0000 0.0000 0.0000 1
Rh1 Rh 0.1628 0.7500 0.1250 1
Au1 Au 0.0000 0.0000 0.5000 1
```



Density functional theory data (PBE-GGA) for a relaxed BeRe2 crystal.

Summary:
* V: 44.7 Å³/f.u.
* energy above the most stable polymorph in this dataset: 0.708 eV/atom
* E_tot: -0.6692 Ry/atom

```
data_BeRe2
_chemical_formula_sum 'Be2 Re4'
_cell_length_a 4.3128
_cell_length_b 4.3128
_cell_length_c 5.5438
_cell_angle_alpha 90.00
_cell_angle_beta 90.00
_cell_angle_gamma 120.00
_symmetry_space_group_name_H-M 'P 63/m m c'
_symmetry_Int_Tables_number 194
_symmetry_space_group_name_Hall '-P 6c 2c'
loop_
_atom_site_label
_atom_site_type_symbol
_atom_site_fract_x
_atom_site_fract_y
_atom_site_fract_z
_atom_site_occupancy
Be1 Be 0.0000 0.0000 0.2500 1
Re1 Re 0.3333 0.6667 0.0372 1
```



Density functional theory data (PBE-GGA) for a relaxed LaTm2Pu crystal.

Summary:
* V: 126.3 Å³/f.u.
* energy above the most stable polymorph in this dataset: 0.096 eV/atom
* E_tot: -0.5034 Ry/atom

```
data_LaTm2Pu
_chemical_formula_sum 'La4 Tm8 Pu4'
_cell_length_a 7.9647
_cell_length_b 7.9647
_cell_length_c 7.9647
_cell_angle_alpha 90.00
_cell_angle_beta 90.00
_cell_angle_gamma 90.00
_symmetry_space_group_name_H-M 'F m -3 m'
_symmetry_Int_Tables_number 225
_symmetry_space_group_name_Hall '-F 4 2 3'
loop_
_atom_site_label
_atom_site_type_symbol
_atom_site_fract_x
_atom_site_fract_y
_atom_site_fract_z
_atom_site_occupancy
La1 La 0.0000 0.0000 0.0000 1
Tm1 Tm 0.2500 0.2500 0.2500 1
Pu1 Pu 0.0000 0.0000 0.5000 1
```